A relaxed NaSmCdS3 crystal. Source: the Open Quantum Materials Database, functional PBE.

It has space group P2_1/m (No. 11), with a = 7.929 Å, b = 4.103 Å, c = 10.689 Å, α = 90.00°, β = 106.36° and γ = 90.00°. The asymmetric unit holds Na at (0.182, 0.250, 0.142), Sm at (0.327, 0.750, 0.856), Cd at (0.056, 0.250, 0.616), S at (0.074, 0.250, 0.855), S at (0.233, 0.750, 0.575) and S at (0.431, 0.750, 0.128).

As for the raw total energy: -54.53 eV per cell. The value obtained for the magnetization is 0.00 μB/atom.

=====

A relaxed NaSmCdS3 crystal. Source: the Open Quantum Materials Database, functional PBE.

It has space group Pnma (No. 62), with a = 12.394 Å, b = 4.062 Å, c = 11.642 Å, α = 90.00°, β = 90.00° and γ = 90.00°. The asymmetric unit holds Na at (0.124, 0.250, 0.012), Sm at (0.047, 0.250, 0.667), Cd at (0.235, 0.250, 0.287), S at (0.065, 0.750, 0.842), S at (0.082, 0.250, 0.423) and S at (0.228, 0.750, 0.150).

As for the raw total energy: -109.17 eV per cell. The value obtained for the magnetization is 0.00 μB/atom.

=====

A relaxed NaSmCdS3 crystal. Source: the Open Quantum Materials Database, functional PBE.

It has space group C2/m (No. 12), with a = 17.084 Å, b = 4.026 Å, c = 8.682 Å, α = 90.00°, β = 105.70° and γ = 90.00°. The asymmetric unit holds Na at (0.132, 0.000, 0.068), Sm at (0.176, 0.000, 0.606), Cd at (0.010, 0.500, 0.719), S at (0.000, 0.000, 0.500), S at (0.000, 0.500, 0.000), S at (0.161, 0.500, 0.370) and S at (0.171, 0.500, 0.819).

As for the raw total energy: -108.27 eV per cell. The value obtained for the magnetization is 0.00 μB/atom.

=====

A relaxed NaSmCdS3 crystal. Source: the Open Quantum Materials Database, functional PBE.

It has space group Pnma (No. 62), with a = 12.128 Å, b = 4.080 Å, c = 11.701 Å, α = 90.00°, β = 90.00° and γ = 90.00°. The asymmetric unit holds Na at (0.126, 0.250, 0.010), Sm at (0.044, 0.250, 0.669), Cd at (0.235, 0.250, 0.286), S at (0.062, 0.750, 0.842), S at (0.083, 0.250, 0.427) and S at (0.226, 0.750, 0.153).

As for the raw total energy: -109.09 eV per cell. The value obtained for the magnetization is 0.00 μB/atom.

=====

A relaxed NaSmCdS3 crystal. Source: the Open Quantum Materials Database, functional PBE.

It has space group Cmcm (No. 63), with a = 4.093 Å, b = 13.179 Å, c = 10.946 Å, α = 90.00°, β = 90.00° and γ = 90.00°. The asymmetric unit holds Na at (0.000, 0.246, 0.250), Sm at (0.000, 0.500, 0.000), Cd at (0.000, 0.036, 0.750), S at (0.000, 0.138, 0.560) and S at (0.000, 0.416, 0.750).

As for the raw total energy: -108.18 eV per cell. The value obtained for the magnetization is 0.00 μB/atom.

=====

A relaxed Na2CdSnS4 crystal. Source: the Open Quantum Materials Database, functional PBE.

It has space group I-4 (No. 82), with a = 6.389 Å, b = 6.389 Å, c = 10.721 Å, α = 90.00°, β = 90.00° and γ = 90.00°. The asymmetric unit holds Na at (0.000, 0.000, 0.000), Na at (0.000, 0.500, 0.250), Cd at (0.000, 0.500, 0.750), Sn at (0.000, 0.000, 0.500) and S at (0.214, 0.236, 0.623).

As for the raw total energy: -60.83 eV per cell.

=====

A relaxed NaTbCdS3 crystal. Source: the Open Quantum Materials Database, functional PBE.

It has space group Pnma (No. 62), with a = 14.125 Å, b = 4.036 Å, c = 11.162 Å, α = 90.00°, β = 90.00° and γ = 90.00°. The asymmetric unit holds Na at (0.216, 0.250, 0.190), Tb at (0.037, 0.750, 0.855), Cd at (0.041, 0.250, 0.600), S at (0.071, 0.250, 0.370), S at (0.089, 0.750, 0.086) and S at (0.156, 0.250, 0.772).

As for the raw total energy: -109.13 eV per cell. The value obtained for the magnetization is 0.00 μB/atom.

=====

A relaxed NaTbCdS3 crystal. Source: the Open Quantum Materials Database, functional PBE.

It has space group Pnma (No. 62), with a = 7.775 Å, b = 4.085 Å, c = 16.471 Å, α = 90.00°, β = 90.00° and γ = 90.00°. The asymmetric unit holds Na at (0.056, 0.250, 0.194), Tb at (0.232, 0.250, 0.963), Cd at (0.078, 0.250, 0.662), S at (0.013, 0.250, 0.423), S at (0.123, 0.750, 0.063) and S at (0.230, 0.250, 0.794).

As for the raw total energy: -107.84 eV per cell. The value obtained for the magnetization is 0.00 μB/atom.

=====

A relaxed NaTbCdS3 crystal. Source: the Open Quantum Materials Database, functional PBE.

It has space group Pnma (No. 62), with a = 12.145 Å, b = 4.020 Å, c = 11.624 Å, α = 90.00°, β = 90.00° and γ = 90.00°. The asymmetric unit holds Na at (0.124, 0.250, 0.009), Tb at (0.047, 0.250, 0.666), Cd at (0.233, 0.250, 0.286), S at (0.062, 0.750, 0.838), S at (0.080, 0.250, 0.425) and S at (0.229, 0.750, 0.148).

As for the raw total energy: -108.78 eV per cell. The value obtained for the magnetization is 0.00 μB/atom.

=====

A relaxed NaTbCdS3 crystal. Source: the Open Quantum Materials Database, functional PBE.

It has space group C2/m (No. 12), with a = 16.869 Å, b = 3.973 Å, c = 8.693 Å, α = 90.00°, β = 105.47° and γ = 90.00°. The asymmetric unit holds Na at (0.134, 0.000, 0.068), Tb at (0.176, 0.000, 0.602), Cd at (0.010, 0.500, 0.720), S at (0.000, 0.000, 0.500), S at (0.000, 0.500, 0.000), S at (0.162, 0.500, 0.371) and S at (0.173, 0.500, 0.812).

As for the raw total energy: -108.42 eV per cell. The value obtained for the magnetization is 0.00 μB/atom.

=====

A relaxed NaTbCdS3 crystal. Source: the Open Quantum Materials Database, functional PBE.

It has space group Pnma (No. 62), with a = 10.919 Å, b = 4.054 Å, c = 13.194 Å, α = 90.00°, β = 90.00° and γ = 90.00°. The asymmetric unit holds Na at (0.185, 0.250, 0.008), Tb at (0.007, 0.750, 0.266), Cd at (0.242, 0.750, 0.785), S at (0.042, 0.750, 0.876), S at (0.073, 0.250, 0.393) and S at (0.242, 0.250, 0.666).

As for the raw total energy: -108.23 eV per cell. The value obtained for the magnetization is 0.00 μB/atom.

=====

A relaxed NaTbCdS3 crystal. Source: the Open Quantum Materials Database, functional PBE.

It has space group Pnma (No. 62), with a = 12.163 Å, b = 4.016 Å, c = 11.619 Å, α = 90.00°, β = 90.00° and γ = 90.00°. The asymmetric unit holds Na at (0.124, 0.250, 0.009), Tb at (0.047, 0.250, 0.666), Cd at (0.234, 0.250, 0.285), S at (0.063, 0.750, 0.838), S at (0.080, 0.250, 0.424) and S at (0.229, 0.750, 0.148).

As for the raw total energy: -108.78 eV per cell. The value obtained for the magnetization is 0.00 μB/atom.

=====

A relaxed NaTbCdS3 crystal. Source: the Open Quantum Materials Database, functional PBE.

It has space group P2_1/m (No. 11), with a = 7.896 Å, b = 4.059 Å, c = 10.670 Å, α = 90.00°, β = 107.49° and γ = 90.00°. The asymmetric unit holds Na at (0.186, 0.250, 0.146), Tb at (0.326, 0.750, 0.858), Cd at (0.056, 0.250, 0.615), S at (0.077, 0.250, 0.855), S at (0.239, 0.750, 0.580) and S at (0.436, 0.750, 0.127).

As for the raw total energy: -54.51 eV per cell. The value obtained for the magnetization is 0.00 μB/atom.

=====

A relaxed NaTbCdS3 crystal. Source: the Open Quantum Materials Database, functional PBE.

It has space group Cmcm (No. 63), with a = 4.040 Å, b = 13.247 Å, c = 10.791 Å, α = 90.00°, β = 90.00° and γ = 90.00°. The asymmetric unit holds Na at (0.000, 0.244, 0.250), Tb at (0.000, 0.500, 0.000), Cd at (0.000, 0.038, 0.750), S at (0.000, 0.136, 0.556) and S at (0.000, 0.418, 0.750).

As for the raw total energy: -108.04 eV per cell. The value obtained for the magnetization is 0.00 μB/atom.

=====

A relaxed Na3CdSbSe4 crystal. Source: the Open Quantum Materials Database, functional PBE.

It has space group P2_1/c (No. 14), with a = 7.353 Å, b = 16.250 Å, c = 8.351 Å, α = 90.00°, β = 106.56° and γ = 90.00°. The asymmetric unit holds Na at (0.137, 0.155, 0.281), Na at (0.254, 0.564, 0.064), Na at (0.272, 0.564, 0.570), Cd at (0.355, 0.746, 0.842), Sb at (0.208, 0.147, 0.800), Se at (0.014, 0.015, 0.757), Se at (0.117, 0.746, 0.032), Se at (0.427, 0.109, 0.607) and Se at (0.431, 0.115, 0.104).

As for the raw total energy: -120.50 eV per cell.

=====

A relaxed NaScCd crystal. Source: the Open Quantum Materials Database, functional PBE.

It has space group F-43m (No. 216), with a = 6.990 Å, b = 6.990 Å, c = 6.990 Å, α = 90.00°, β = 90.00° and γ = 90.00°. The asymmetric unit holds Na at (0.000, 0.000, 0.000), Sc at (0.250, 0.250, 0.750) and Cd at (0.000, 0.000, 0.500).

As for the raw total energy: -27.91 eV per cell. The value obtained for the magnetization is 0.27 μB/atom.